No. 1
# YTm4N5 (PBE, relaxed)
# Formation energy without anion corrections in eV per atom: -1.798
data_YTm4N5
_cell_length_a 3.4189
_cell_length_b 3.4189
_cell_length_c 12.3245
_cell_angle_alpha 97.97
_cell_angle_beta 97.97
_cell_angle_gamma 90.00
_space_group_name_H-M_alt 'P 1'
_space_group_IT_number 1
loop_
_space_group_symop_operation_xyz
'x,y,z'
loop_
_atom_site_label
_atom_site_fract_x
_atom_site_fract_y
_atom_site_fract_z
Y1 0.0000 0.0000 0.0000
Tm1 0.3989 0.3989 0.7979
Tm2 0.7997 0.7997 0.5993
Tm3 0.2003 0.2003 0.4007
Tm4 0.6011 0.6011 0.2021
N1 0.1015 0.1015 0.2030
N2 0.5000 0.5000 0.0000
N3 0.8985 0.8985 0.7970
N4 0.2998 0.2998 0.5996
N5 0.7002 0.7002 0.4004

=====

No. 2
# Gd2Ti2O7 (PBE, relaxed)
# Formation energy without anion corrections in eV per atom: -3.297
data_Gd2Ti2O7
_cell_length_a 5.2654
_cell_length_b 5.9021
_cell_length_c 5.9021
_cell_angle_alpha 107.68
_cell_angle_beta 96.82
_cell_angle_gamma 96.82
_space_group_name_H-M_alt 'P 1'
_space_group_IT_number 1
loop_
_space_group_symop_operation_xyz
'x,y,z'
loop_
_atom_site_label
_atom_site_fract_x
_atom_site_fract_y
_atom_site_fract_z
Gd1 0.0000 0.3094 0.6906
Gd2 0.0000 0.6906 0.3094
O1 0.7911 0.9254 0.6049
O2 0.7911 0.6049 0.9254
O3 0.2786 0.5842 0.5842
O4 0.5000 0.0000 0.0000
O5 0.7214 0.4158 0.4158
O6 0.2089 0.3951 0.0746
O7 0.2089 0.0746 0.3951
Ti1 0.5958 0.7602 0.7602
Ti2 0.4042 0.2398 0.2398

=====

No. 3
# ScTlTe2N (PBE, relaxed)
# Formation energy without anion corrections in eV per atom: -0.044
data_ScTlTe2N
_cell_length_a 5.9459
_cell_length_b 5.9459
_cell_length_c 3.9532
_cell_angle_alpha 90.00
_cell_angle_beta 90.00
_cell_angle_gamma 90.00
_space_group_name_H-M_alt 'P 1'
_space_group_IT_number 1
loop_
_space_group_symop_operation_xyz
'x,y,z'
loop_
_atom_site_label
_atom_site_fract_x
_atom_site_fract_y
_atom_site_fract_z
Sc1 0.0000 0.0000 0.0000
Tl1 0.5000 0.5000 0.5000
Te1 0.0000 0.5000 0.0000
Te2 0.5000 0.0000 0.0000
N1 0.0000 0.0000 0.5000

=====

No. 4
# CaPrNdSn (PBE, relaxed)
# Energy in eV/atom: -4.13
data_CaPrNdSn
_cell_length_a 5.8916
_cell_length_b 5.8916
_cell_length_c 7.3399
_cell_angle_alpha 90.00
_cell_angle_beta 90.00
_cell_angle_gamma 90.00
_space_group_name_H-M_alt 'P 1'
_space_group_IT_number 1
loop_
_space_group_symop_operation_xyz
'x,y,z'
loop_
_atom_site_label
_atom_site_fract_x
_atom_site_fract_y
_atom_site_fract_z
Ca1 0.0000 0.0000 0.5000
Ca2 0.5000 0.5000 0.5000
Pr1 0.5000 0.5000 0.0000
Pr2 0.0000 0.0000 0.0000
Nd1 0.0000 0.5000 0.7923
Nd2 0.5000 0.0000 0.2077
Sn1 0.5000 0.0000 0.7507
Sn2 0.0000 0.5000 0.2493

=====

No. 5
# AcSiGe2 (PBE, relaxed)
# Formation energy without anion corrections in eV per atom: -0.194
data_AcSiGe2
_cell_length_a 4.5650
_cell_length_b 4.5272
_cell_length_c 4.5272
_cell_angle_alpha 90.00
_cell_angle_beta 90.00
_cell_angle_gamma 90.00
_space_group_name_H-M_alt 'P 1'
_space_group_IT_number 1
loop_
_space_group_symop_operation_xyz
'x,y,z'
loop_
_atom_site_label
_atom_site_fract_x
_atom_site_fract_y
_atom_site_fract_z
Ac1 0.5000 0.0000 0.0000
Si1 0.5000 0.5000 0.5000
Ge1 0.0000 0.0000 0.5000
Ge2 0.0000 0.5000 0.0000

=====

No. 6
# RbCrGaPb2 (PBE, relaxed)
# Energy in eV/atom: -3.77
data_RbCrGaPb2
_cell_length_a 5.6949
_cell_length_b 5.1639
_cell_length_c 5.6949
_cell_angle_alpha 90.00
_cell_angle_beta 90.00
_cell_angle_gamma 90.00
_space_group_name_H-M_alt 'P 1'
_space_group_IT_number 1
loop_
_space_group_symop_operation_xyz
'x,y,z'
loop_
_atom_site_label
_atom_site_fract_x
_atom_site_fract_y
_atom_site_fract_z
Pb1 0.0000 0.0000 0.5000
Pb2 0.5000 0.0000 0.0000
Cr1 0.0000 0.5000 0.0000
Ga1 0.0000 0.0000 0.0000
Rb1 0.5000 0.5000 0.5000

=====

No. 7
# Sr2Ag2Sb (PBE, relaxed)
# Formation energy without anion corrections in eV per atom: -0.434
data_Sr2Ag2Sb
_cell_length_a 4.0237
_cell_length_b 4.0237
_cell_length_c 9.5975
_cell_angle_alpha 77.90
_cell_angle_beta 77.90
_cell_angle_gamma 90.00
_space_group_name_H-M_alt 'P 1'
_space_group_IT_number 1
loop_
_space_group_symop_operation_xyz
'x,y,z'
loop_
_atom_site_label
_atom_site_fract_x
_atom_site_fract_y
_atom_site_fract_z
Sb1 0.0000 0.0000 0.0000
Ag1 0.7500 0.2500 0.5000
Ag2 0.2500 0.7500 0.5000
Sr1 0.3970 0.3970 0.2060
Sr2 0.6030 0.6030 0.7940

=====

No. 8
# BeAg2W (PBE, relaxed)
# Energy in eV/atom: -4.75
data_BeAg2W
_cell_length_a 4.7805
_cell_length_b 4.7805
_cell_length_c 2.7703
_cell_angle_alpha 90.00
_cell_angle_beta 90.00
_cell_angle_gamma 90.00
_space_group_name_H-M_alt 'P 1'
_space_group_IT_number 1
loop_
_space_group_symop_operation_xyz
'x,y,z'
loop_
_atom_site_label
_atom_site_fract_x
_atom_site_fract_y
_atom_site_fract_z
Be1 0.5000 0.0000 0.5000
Ag1 0.0000 0.0000 0.0000
Ag2 0.5000 0.5000 0.0000
W1 0.0000 0.5000 0.5000

=====

> What is the formula in the fifth record?

AcSiGe2